Entry 1:
SrHfCr3 | SCAN | single point on PBEsol structure

## Properties
- Symmetry: Pm-3m
- ΔH_f (0 K): 1010 meV per atom

Lattice parameters (Å, degrees): 4.916 4.916 4.916 90.00 90.00 90.00
Sites, in units of the cell vectors:
1 Sr 0.000 0.000 0.000
2 Hf 0.500 0.500 0.500
3 Cr 0.000 0.500 0.500
4 Cr 0.500 0.000 0.500
5 Cr 0.500 0.500 0.000


Entry 2:
SrTaHg2 | SCAN | single point on PBEsol structure

## Properties
- Symmetry: C2/m
- ΔH_f (0 K): 235 meV per atom

Lattice parameters (Å, degrees): 9.080 3.284 6.736 90.00 99.24 90.00
Sites, in units of the cell vectors:
1 Sr 0.000 0.000 0.000
2 Sr 0.500 0.500 0.000
3 Ta 0.000 0.500 0.500
4 Ta 0.500 0.000 0.500
5 Hg 0.243 0.000 0.693
6 Hg 0.257 0.500 0.307
7 Hg 0.743 0.500 0.693
8 Hg 0.757 0.000 0.307


Entry 3:
Y2Cu2Ru | SCAN | single point on PBEsol structure

## Properties
- Symmetry: I4/mmm
- ΔH_f (0 K): -198 meV per atom

Lattice parameters (Å, degrees): 3.360 3.360 16.520 90.00 90.00 90.00
Sites, in units of the cell vectors:
1 Y 0.000 0.000 0.100
2 Y 0.000 0.000 0.900
3 Y 0.500 0.500 0.400
4 Y 0.500 0.500 0.600
5 Cu 0.000 0.500 0.250
6 Cu 0.000 0.500 0.750
7 Cu 0.500 0.000 0.250
8 Cu 0.500 0.000 0.750
9 Ru 0.000 0.000 0.500
10 Ru 0.500 0.500 0.000


Entry 4:
K2HgPt | SCAN | single point on PBEsol structure

## Properties
- Symmetry: R3m
- ΔH_f (0 K): -200 meV per atom

Lattice parameters (Å, degrees): 4.695 4.695 22.665 90.00 90.00 120.00
Sites, in units of the cell vectors:
1 K 0.000 0.000 0.000
2 K 0.000 0.000 0.176
3 K 0.333 0.667 0.667
4 K 0.333 0.667 0.842
5 K 0.667 0.333 0.333
6 K 0.667 0.333 0.509
7 Hg 0.000 0.000 0.755
8 Hg 0.333 0.667 0.421
9 Hg 0.667 0.333 0.088
10 Pt 0.000 0.000 0.421
11 Pt 0.333 0.667 0.087
12 Pt 0.667 0.333 0.754


Entry 5:
CsB6I6 | SCAN | single point on PBEsol structure

## Properties
- Symmetry: R-3

Lattice parameters (Å, degrees): 18.099 18.099 18.099 33.28 33.28 33.28
Sites, in units of the cell vectors:
1 Cs 0.125 0.125 0.125
2 Cs 0.290 0.290 0.290
3 Cs 0.710 0.710 0.710
4 Cs 0.875 0.875 0.875
5 B 0.009 0.861 0.051
6 B 0.051 0.009 0.861
7 B 0.063 0.824 0.132
8 B 0.132 0.063 0.824
9 B 0.139 0.949 0.991
10 B 0.176 0.868 0.937
11 B 0.316 0.538 0.627
12 B 0.373 0.684 0.462
13 B 0.391 0.584 0.446
14 B 0.416 0.554 0.609
15 B 0.446 0.391 0.584
16 B 0.462 0.373 0.684
17 B 0.538 0.627 0.316
18 B 0.554 0.609 0.416
19 B 0.584 0.446 0.391
20 B 0.609 0.416 0.554
21 B 0.627 0.316 0.538
22 B 0.684 0.462 0.373
23 B 0.824 0.132 0.063
24 B 0.861 0.051 0.009
25 B 0.868 0.937 0.176
26 B 0.937 0.176 0.868
27 B 0.949 0.991 0.139
28 B 0.991 0.139 0.949
29 I 0.016 0.688 0.115
30 I 0.080 0.585 0.789
31 I 0.115 0.016 0.688
32 I 0.140 0.604 0.302
33 I 0.211 0.920 0.415
34 I 0.251 0.689 0.380
35 I 0.302 0.140 0.604
36 I 0.311 0.620 0.749
37 I 0.312 0.885 0.984
38 I 0.380 0.251 0.689
39 I 0.396 0.698 0.860
40 I 0.415 0.211 0.920
41 I 0.585 0.789 0.080
42 I 0.604 0.302 0.140
43 I 0.620 0.749 0.311
44 I 0.688 0.115 0.016
45 I 0.689 0.380 0.251
46 I 0.698 0.860 0.396
47 I 0.749 0.311 0.620
48 I 0.789 0.080 0.585
49 I 0.860 0.396 0.698
50 I 0.885 0.984 0.312
51 I 0.920 0.415 0.211
52 I 0.984 0.312 0.885


Entry 6:
ReAs2P | SCAN | single point on PBEsol structure

## Properties
- Symmetry: P2/m
- ΔH_f (0 K): 736 meV per atom

Lattice parameters (Å, degrees): 4.195 3.079 4.816 90.00 100.93 90.00
Sites, in units of the cell vectors:
1 Re 0.000 0.000 0.000
2 As 0.000 0.500 0.500
3 As 0.500 0.000 0.500
4 P 0.500 0.500 0.000


| no. | energy (eV per atom) |
| --- | --- |
| 1 | -27.0103 |
| 2 | -56.0627 |
| 3 | -24.3804 |
| 4 | -38.9545 |
| 5 | -23.7778 |
| 6 | -29.7334 |